The following is a DFT calculation (PBE) of a relaxed HfSc3As4 crystal. Values from VASP.

Results
- total magnetic moment (μB/cell) = 0.00
- calculated total energy (eV per atom) = -7.24
- ρ (Mg/m³) = 6.31

```
&SYSTEM
  ibrav = 0, nat = 8, ntyp = 3
/
ATOMIC_SPECIES
Hf 178.49 Hf.upf
Sc 44.96 Sc.upf
As 74.92 As.upf
ATOMIC_POSITIONS crystal
Hf 0.000 0.000 0.000
Sc 0.000 0.500 0.500
Sc 0.500 0.000 0.500
Sc 0.500 0.500 0.000
As 0.249 0.249 0.500
As 0.249 0.751 0.000
As 0.751 0.249 0.000
As 0.751 0.751 0.500
CELL_PARAMETERS angstrom
3.853 -5.440 0.000
3.853 5.440 0.000
0.000 0.000 3.851
```


The following is a DFT calculation (PBE) of a relaxed AcReTc crystal. Values from VASP.

Results
- energy relative to the lowest polymorph listed for this composition (meV/atom) = 999
- total magnetic moment (μB/cell) = 0.01
- calculated total energy (eV per atom) = -7.00
- ρ (Mg/m³) = 12.65

```
&SYSTEM
  ibrav = 0, nat = 3, ntyp = 3
/
ATOMIC_SPECIES
Ac 227.00 Ac.upf
Re 186.21 Re.upf
Tc 98.00 Tc.upf
ATOMIC_POSITIONS crystal
Ac 0.000 0.000 0.000
Re 0.750 0.750 0.750
Tc 0.250 0.250 0.250
CELL_PARAMETERS angstrom
0.000 3.225 3.225
3.225 0.000 3.225
3.225 3.225 0.000
```


The following is a DFT calculation (PBE) of a relaxed La2In4Pd3 crystal. Values from VASP.

Results
- total magnetic moment (μB/cell) = 0.01
- calculated total energy (eV per atom) = -4.75
- ρ (Mg/m³) = 8.40

```
&SYSTEM
  ibrav = 0, nat = 36, ntyp = 3
/
ATOMIC_SPECIES
La 138.91 La.upf
In 114.82 In.upf
Pd 106.42 Pd.upf
ATOMIC_POSITIONS crystal
La 0.117 0.250 0.125
La 0.142 0.250 0.622
La 0.358 0.750 0.122
La 0.383 0.750 0.625
La 0.617 0.250 0.375
La 0.642 0.250 0.878
La 0.858 0.750 0.378
La 0.883 0.750 0.875
In 0.001 0.250 0.385
In 0.003 0.250 0.862
In 0.205 0.750 0.923
In 0.210 0.750 0.311
In 0.290 0.250 0.811
In 0.295 0.250 0.423
In 0.497 0.750 0.362
In 0.499 0.750 0.885
In 0.501 0.250 0.115
In 0.503 0.250 0.638
In 0.705 0.750 0.577
In 0.710 0.750 0.189
In 0.790 0.250 0.689
In 0.795 0.250 0.077
In 0.997 0.750 0.138
In 0.999 0.750 0.615
Pd 0.080 0.750 0.869
Pd 0.087 0.750 0.384
Pd 0.248 0.250 0.118
Pd 0.252 0.750 0.618
Pd 0.413 0.250 0.884
Pd 0.420 0.250 0.369
Pd 0.580 0.750 0.631
Pd 0.587 0.750 0.116
Pd 0.748 0.250 0.382
Pd 0.752 0.750 0.882
Pd 0.913 0.250 0.616
Pd 0.920 0.250 0.131
CELL_PARAMETERS angstrom
21.913 0.000 0.000
0.000 4.492 0.000
0.000 0.000 8.489
```


The following is a DFT calculation (PBE) of a relaxed PrNdSb2Ir2O2 crystal. Values from VASP.

Results
- total magnetic moment (μB/cell) = 0.00
- calculated total energy (eV per atom) = -7.32
- ρ (Mg/m³) = 10.04

```
&SYSTEM
  ibrav = 0, nat = 8, ntyp = 5
/
ATOMIC_SPECIES
Pr 140.91 Pr.upf
Nd 144.24 Nd.upf
Sb 121.76 Sb.upf
Ir 192.22 Ir.upf
O 16.00 O.upf
ATOMIC_POSITIONS crystal
Pr 0.000 0.000 0.000
Nd 0.500 0.500 0.255
Sb 0.000 0.000 0.450
Sb 0.500 0.500 0.804
Ir 0.000 0.500 0.627
Ir 0.500 0.000 0.627
O 0.000 0.500 0.129
O 0.500 0.000 0.129
CELL_PARAMETERS angstrom
4.223 0.000 0.000
0.000 4.223 0.000
0.000 0.000 8.764
```


The following is a DFT calculation (PBE) of a relaxed Hf2TaIr crystal. Values from VASP.

Results
- total magnetic moment (μB/cell) = 0.01
- calculated total energy (eV per atom) = -10.42
- ρ (Mg/m³) = 16.76

```
&SYSTEM
  ibrav = 0, nat = 4, ntyp = 3
/
ATOMIC_SPECIES
Hf 178.49 Hf.upf
Ta 180.95 Ta.upf
Ir 192.22 Ir.upf
ATOMIC_POSITIONS crystal
Hf 0.000 0.000 0.000
Hf 0.250 0.250 0.250
Ta 0.500 0.500 0.500
Ir 0.750 0.750 0.750
CELL_PARAMETERS angstrom
0.000 3.307 3.307
3.307 0.000 3.307
3.307 3.307 0.000
```


The following is a DFT calculation (PBE) of a relaxed ZnSi3GeH35C13BrO crystal. Values from VASP.

Results
- calculated total energy (eV per atom) = -5.08
- ρ (Mg/m³) = 1.44

```
&SYSTEM
  ibrav = 0, nat = 110, ntyp = 7
/
ATOMIC_SPECIES
Zn 65.41 Zn.upf
Si 28.09 Si.upf
Ge 72.64 Ge.upf
H 1.01 H.upf
C 12.01 C.upf
Br 79.90 Br.upf
O 16.00 O.upf
ATOMIC_POSITIONS crystal
Zn 0.099 0.136 0.083
Zn 0.901 0.864 0.917
Si 0.107 0.727 0.732
Si 0.260 0.117 0.392
Si 0.279 0.461 0.265
Si 0.721 0.539 0.735
Si 0.740 0.883 0.608
Si 0.893 0.273 0.268
Ge 0.136 0.247 0.256
Ge 0.864 0.753 0.744
H 0.026 0.575 0.565
H 0.033 0.973 0.414
H 0.058 0.741 0.532
H 0.105 0.530 0.097
H 0.105 0.899 0.317
H 0.112 0.503 0.801
H 0.127 0.301 0.865
H 0.127 0.599 0.344
H 0.157 0.139 0.828
H 0.185 0.627 0.910
H 0.197 0.897 0.457
H 0.198 0.966 0.721
H 0.213 0.656 0.587
H 0.216 0.239 0.549
H 0.249 0.922 0.858
H 0.258 0.467 0.068
H 0.273 0.548 0.448
H 0.283 0.630 0.131
H 0.297 0.589 0.826
H 0.315 0.679 0.369
H 0.351 0.878 0.768
H 0.355 0.277 0.775
H 0.372 0.151 0.595
H 0.391 0.391 0.890
H 0.393 0.302 0.533
H 0.401 0.022 0.279
H 0.405 0.081 0.054
H 0.417 0.752 0.045
H 0.445 0.456 0.691
H 0.457 0.106 0.886
H 0.464 0.253 0.097
H 0.479 0.586 0.610
H 0.487 0.622 0.747
H 0.488 0.835 0.641
H 0.494 0.012 0.419
H 0.506 0.988 0.581
H 0.512 0.165 0.359
H 0.513 0.378 0.253
H 0.521 0.414 0.390
H 0.536 0.747 0.903
H 0.543 0.894 0.114
H 0.555 0.544 0.309
H 0.583 0.248 0.955
H 0.595 0.919 0.946
H 0.599 0.978 0.721
H 0.607 0.698 0.467
H 0.609 0.609 0.110
H 0.628 0.849 0.405
H 0.645 0.723 0.225
H 0.649 0.122 0.232
H 0.685 0.321 0.631
H 0.703 0.411 0.174
H 0.717 0.370 0.869
H 0.727 0.452 0.552
H 0.742 0.533 0.932
H 0.751 0.078 0.142
H 0.784 0.761 0.451
H 0.787 0.344 0.413
H 0.802 0.034 0.279
H 0.803 0.103 0.543
H 0.815 0.373 0.090
H 0.843 0.861 0.172
H 0.873 0.401 0.656
H 0.873 0.699 0.135
H 0.888 0.497 0.199
H 0.895 0.101 0.683
H 0.895 0.470 0.903
H 0.942 0.259 0.468
H 0.967 0.027 0.586
H 0.974 0.425 0.435
C 0.100 0.670 0.591
C 0.137 0.957 0.395
C 0.183 0.600 0.827
C 0.209 0.232 0.878
C 0.226 0.528 0.128
C 0.239 0.888 0.774
C 0.245 0.583 0.366
C 0.316 0.211 0.531
C 0.358 0.286 0.860
C 0.405 0.182 0.027
C 0.433 0.076 0.360
C 0.465 0.201 0.930
C 0.486 0.448 0.308
C 0.514 0.552 0.692
C 0.535 0.799 0.070
C 0.567 0.924 0.640
C 0.595 0.818 0.973
C 0.642 0.714 0.140
C 0.684 0.789 0.469
C 0.755 0.417 0.634
C 0.761 0.112 0.226
C 0.774 0.472 0.872
C 0.791 0.768 0.122
C 0.817 0.400 0.173
C 0.863 0.043 0.605
C 0.900 0.330 0.409
Br 0.140 0.893 0.071
Br 0.860 0.107 0.929
O 0.249 0.206 0.992
O 0.751 0.794 0.008
CELL_PARAMETERS angstrom
9.399 0.000 0.000
-1.362 10.151 0.000
-3.694 -0.966 12.340
```


The following is a DFT calculation (PBE) of a relaxed Gd2CoN3 crystal. Values from VASP.

Results
- total magnetic moment (μB/cell) = 0.02
- calculated total energy (eV per atom) = -7.93
- ρ (Mg/m³) = 9.03

```
&SYSTEM
  ibrav = 0, nat = 6, ntyp = 3
/
ATOMIC_SPECIES
Gd 157.25 Gd.upf
Co 58.93 Co.upf
N 14.01 N.upf
ATOMIC_POSITIONS crystal
Gd 0.149 0.149 0.000
Gd 0.851 0.851 0.000
Co 0.500 0.500 0.000
N 0.000 0.500 0.500
N 0.337 0.337 0.000
N 0.663 0.663 0.000
CELL_PARAMETERS angstrom
-1.725 1.781 6.215
1.725 -1.781 6.215
1.725 1.781 -6.215
```


The following is a DFT calculation (PBE) of a relaxed NaLuCdTe3 crystal. Values from VASP.

Results
- energy relative to the lowest polymorph listed for this composition (meV/atom) = 8
- total magnetic moment (μB/cell) = 0.01
- calculated total energy (eV per atom) = -3.61
- ρ (Mg/m³) = 6.18

```
&SYSTEM
  ibrav = 0, nat = 24, ntyp = 4
/
ATOMIC_SPECIES
Na 22.99 Na.upf
Lu 174.97 Lu.upf
Cd 112.41 Cd.upf
Te 127.60 Te.upf
ATOMIC_POSITIONS crystal
Na 0.219 0.250 0.014
Na 0.281 0.750 0.514
Na 0.719 0.250 0.486
Na 0.781 0.750 0.986
Lu 0.011 0.750 0.743
Lu 0.489 0.250 0.243
Lu 0.511 0.750 0.757
Lu 0.989 0.250 0.257
Cd 0.242 0.750 0.218
Cd 0.258 0.250 0.718
Cd 0.742 0.750 0.282
Cd 0.758 0.250 0.782
Te 0.039 0.750 0.116
Te 0.066 0.250 0.604
Te 0.238 0.250 0.342
Te 0.262 0.750 0.842
Te 0.434 0.750 0.104
Te 0.461 0.250 0.616
Te 0.539 0.750 0.384
Te 0.566 0.250 0.896
Te 0.738 0.250 0.158
Te 0.762 0.750 0.658
Te 0.934 0.750 0.396
Te 0.961 0.250 0.884
CELL_PARAMETERS angstrom
11.684 0.000 0.000
0.000 4.361 0.000
0.000 0.000 14.610
```


Repeat the eighth record exactly.
The following is a DFT calculation (PBE) of a relaxed NaLuCdTe3 crystal. Values from VASP.

Results
- energy relative to the lowest polymorph listed for this composition (meV/atom) = 8
- total magnetic moment (μB/cell) = 0.01
- calculated total energy (eV per atom) = -3.61
- ρ (Mg/m³) = 6.18

```
&SYSTEM
  ibrav = 0, nat = 24, ntyp = 4
/
ATOMIC_SPECIES
Na 22.99 Na.upf
Lu 174.97 Lu.upf
Cd 112.41 Cd.upf
Te 127.60 Te.upf
ATOMIC_POSITIONS crystal
Na 0.219 0.250 0.014
Na 0.281 0.750 0.514
Na 0.719 0.250 0.486
Na 0.781 0.750 0.986
Lu 0.011 0.750 0.743
Lu 0.489 0.250 0.243
Lu 0.511 0.750 0.757
Lu 0.989 0.250 0.257
Cd 0.242 0.750 0.218
Cd 0.258 0.250 0.718
Cd 0.742 0.750 0.282
Cd 0.758 0.250 0.782
Te 0.039 0.750 0.116
Te 0.066 0.250 0.604
Te 0.238 0.250 0.342
Te 0.262 0.750 0.842
Te 0.434 0.750 0.104
Te 0.461 0.250 0.616
Te 0.539 0.750 0.384
Te 0.566 0.250 0.896
Te 0.738 0.250 0.158
Te 0.762 0.750 0.658
Te 0.934 0.750 0.396
Te 0.961 0.250 0.884
CELL_PARAMETERS angstrom
11.684 0.000 0.000
0.000 4.361 0.000
0.000 0.000 14.610
```